Here is a geometry-optimized Pm5Pr12Sm2 structure from Alexandria. Energies are from PBE.

Cell and atoms, written as CIF:
```
data_Pm5Pr12Sm2
_symmetry_space_group_name_H-M 'C 1 2/m 1'
_symmetry_Int_Tables_number 12
_cell_length_a 18.307
_cell_length_b 11.944
_cell_length_c 6.343
_cell_angle_alpha 90.00
_cell_angle_beta 102.79
_cell_angle_gamma 90.00
loop_
_symmetry_equiv_pos_as_xyz
'x,y,z'
'-x,-y,-z'
'-x,y,-z'
'x,-y,z'
'x+1/2,y+1/2,z'
'-x+1/2,-y+1/2,-z'
'-x+1/2,y+1/2,-z'
'x+1/2,-y+1/2,z'
loop_
_atom_site_label
_atom_site_fract_x
_atom_site_fract_y
_atom_site_fract_z
Pm1 0.000 0.000 0.000
Pm2 0.177 0.500 0.356
Pm3 0.214 0.000 0.050
Pr1 0.054 0.500 0.773
Pr2 0.103 0.253 0.117
Pr3 0.121 0.000 0.496
Pr4 0.198 0.257 0.701
Sm1 0.000 0.228 0.500
```

Output
Theoretical density (g/cm³): 6.67
Energy above the most stable polymorph in this dataset (meV per atom): 0
Crystal system: monoclinic
Fermi-level density of states (states/eV/f.u.): 27.54
Size of the total moment (μB per formula unit): 0.00